Tb6CS2N2 | PBE-GGA | optimized geometry

Properties
space-group type	C2/m
mass density	8.2	g/cm³
V	19.5	Å³/atom
total energy	-7.019	eV/atom
formation energy (no corrections)	-1.39	eV per atom

a b c (Å): 6.4034 6.4034 6.3429
angles (deg): 99.63 99.63 119.19
Element x y z (fractional)
Tb: 0.0723 0.4019 0.7697
Tb: 0.2066 0.2066 0.2428
Tb: 0.4019 0.0723 0.7697
Tb: 0.5981 0.9277 0.2303
Tb: 0.7934 0.7934 0.7572
Tb: 0.9277 0.5981 0.2303
C: 0.0000 0.0000 0.5000
S: 0.3364 0.6636 0.5000
S: 0.6636 0.3364 0.5000
N: 0.1662 0.8338 0.0000
N: 0.8338 0.1662 0.0000

=====

Pr3Zn2Pd7 | PBE-GGA | optimized geometry

Properties
space-group type	Cmmm
mass density	8.4	g/cm³
V	21.4	Å³/atom
total energy	-4.941	eV/atom
ΔE_f	-0.505	eV/atom

a b c (Å): 14.8657 14.8657 4.0796
angles (deg): 90.00 90.00 163.45
Element x y z (fractional)
Pr: 0.0000 0.0000 0.0000
Pr: 0.2006 0.7994 0.0000
Pr: 0.7994 0.2006 0.0000
Zn: 0.4173 0.5827 0.5000
Zn: 0.5827 0.4173 0.5000
Pd: 0.1300 0.8700 0.5000
Pd: 0.2899 0.7101 0.5000
Pd: 0.3660 0.6340 0.0000
Pd: 0.5000 0.5000 0.5000
Pd: 0.6340 0.3660 0.0000
Pd: 0.7101 0.2899 0.5000
Pd: 0.8700 0.1300 0.5000

=====

KTl3Ga | PBE-GGA | optimized geometry

Properties
space-group type	Pm-3m
mass density	6.6	g/cm³
V	36.4	Å³/atom
total energy	-2.180	eV/atom
ΔE_f	0.064	eV/atom

a b c (Å): 5.6675 5.6675 5.6675
angles (deg): 90.00 90.00 90.00
Element x y z (fractional)
K: 0.0000 0.0000 0.0000
Tl: 0.0000 0.5000 0.5000
Tl: 0.5000 0.0000 0.5000
Tl: 0.5000 0.5000 0.0000
Ga: 0.5000 0.5000 0.5000

=====

V3CoC | PBE-GGA | optimized geometry

Properties
space-group type	Pm-3m
mass density	4.9	g/cm³
V	15.0	Å³/atom
total energy	-6.982	eV/atom
ΔE_f	1.755	eV/atom

a b c (Å): 4.2198 4.2198 4.2198
angles (deg): 90.00 90.00 90.00
Element x y z (fractional)
V: 0.0000 0.0000 0.5000
V: 0.0000 0.5000 0.0000
V: 0.5000 0.0000 0.0000
Co: 0.0000 0.0000 0.0000
C: 0.5000 0.5000 0.5000

=====

Rb2PbIO6 | PBE-GGA | optimized geometry

Properties
space-group type	Fm-3m
mass density	6.2	g/cm³
V	16.1	Å³/atom
total energy	-4.596	eV/atom
formation energy (no corrections)	-0.90	eV per atom

a b c (Å): 6.1004 6.1004 6.1004
angles (deg): 60.00 60.00 60.00
Element x y z (fractional)
Rb: 0.2500 0.2500 0.2500
Rb: 0.7500 0.7500 0.7500
Pb: 0.0000 0.0000 0.0000
I: 0.5000 0.5000 0.5000
O: 0.2766 0.2766 0.7234
O: 0.2766 0.7234 0.2766
O: 0.2766 0.7234 0.7234
O: 0.7234 0.2766 0.2766
O: 0.7234 0.2766 0.7234
O: 0.7234 0.7234 0.2766